# 1
A plane-wave DFT calculation with PBE was carried out for crystalline Rb2UBiO6 at its relaxed geometry.

Energy ... -6.817 eV/atom
Density ... 7.034 g/cm3
Energy relative to the elements, uncorrected ... -21.32 eV per formula unit

Cell: 8.7684 8.7684 8.7684 Å, 90.00 90.00 90.00°
With the nearest neighbours (Å) after each atom.
Space group Fm-3m (No. 225)
Inequivalent atoms, fractional coordinates:
Rb 0.2500 0.2500 0.2500 [8 per cell]  12 O 3.10
U 0.0000 0.0000 0.0000 [4 per cell]  6 O 2.09
Bi 0.0000 0.0000 0.5000 [4 per cell]  6 O 2.30
O 0.0000 0.0000 0.2380 [24 per cell]  1 U 2.09, 1 Bi 2.30

# 2
A plane-wave DFT calculation with PBE was carried out for crystalline BeIr2Rh at its relaxed geometry.

Energy ... -7.351 eV/atom
Density ... 15.616 g/cm3
E_form ... -0.151 eV/atom

Cell: 2.7396 3.9039 5.1167 Å, 90.00 105.33 90.00°
With the nearest neighbours (Å) after each atom.
Space group Pm (No. 6)
Inequivalent atoms, fractional coordinates:
Be 0.0000 0.0000 0.0000 [1 per cell]  3 Ir 2.36-2.40, 4 Rh 2.54-2.56
Ir 0.1504 0.5000 0.2837 [1 per cell]  2 Be 2.40, 3 Rh 2.63-2.68, 4 Ir 2.66
Ir 0.7694 0.0000 0.5220 [1 per cell]  1 Be 2.36
Rh 0.4168 0.5000 0.8172 [1 per cell]  4 Be 2.54-2.56, 7 Ir 2.63-2.80, 2 Rh 2.74

# 3
A plane-wave DFT calculation with PBE was carried out for crystalline SrCd8In2 at its relaxed geometry.

Energy ... -1.355 eV/atom
Density ... 6.844 g/cm3
E_form ... -0.039 eV/atom

Cell: 6.0500 10.0282 9.7299 Å, 90.00 90.00 90.00°
With the nearest neighbours (Å) after each atom.
Space group Cmmm (No. 65)
Inequivalent atoms, fractional coordinates:
Sr 0.0000 0.0000 0.0000 [2 per cell]  2 In 3.36, 8 Cd 3.39
Cd 0.0000 0.5000 0.2825 [4 per cell]  2 In 3.09, 4 Cd 3.11
Cd 0.2500 0.2500 0.1754 [8 per cell]  5 Cd 3.02-3.16, 2 In 3.36
Cd 0.2500 0.2500 0.5000 [4 per cell]  4 Cd 3.02-3.16, 4 In 3.29
In 0.0000 0.0000 0.3448 [4 per cell]  1 In 3.02, 10 Cd 3.09-3.36, 1 Sr 3.36

Question: Among the records above, which one has the lowest density?
Answer: SrCd8In2